VASP calculation (PBE with a Hubbard U) on a relaxed AcFeO4 crystal.

a b c (Å): 4.250 4.346 5.323
angles (deg): 76.14 89.92 89.91
Last column: magnetic moment on the atom in μB.
Fractional positions:
Ac 0.501 0.497 0.998  0.01
Fe 0.166 0.997 0.498  3.06
O 0.422 0.894 0.274  -0.03
O 0.421 0.100 0.722  -0.03
O 0.999 0.680 0.725  -0.04
O 0.999 0.315 0.272  -0.04

Results
V = 15.91 A^3/atom
E_tot = -6.693 eV/atom
space-group type = P1 (1)